[1]
MnSiTe2 after structural relaxation, computed with PBE.

POSCAR file:
```
MnSiTe2
1.0
3.7568 -0.0564 0.0000
-1.5512 3.4220 0.0000
0.0000 0.0000 7.7767
Mn Si Te
1 1 2
direct
0.5000 0.5000 0.2500
0.5000 0.5000 0.7500
0.0000 0.0000 0.0077
0.0000 0.0000 0.4923
```

Calculated volume in Å³ per atom: 24.82
Energy relative to the elements, uncorrected in eV per atom: 0.4136
Density of states at the Fermi level in states/eV/cell: 2.16
Mass density in g cm⁻³: 5.7
Total energy in eV/atom: -4.805

***

[2]
Ac2Ag3Hg4 after structural relaxation, computed with PBE.

POSCAR file:
```
Ac2Ag3Hg4
1.0
1.0671 -5.0102 2.8616
-1.3150 -5.1528 -2.5157
7.6042 -2.7839 -1.6941
Ac Ag Hg
2 3 4
direct
0.6367 0.0000 0.7266
0.3633 0.0000 0.2734
0.0000 0.5000 0.0000
0.0000 0.0000 0.0000
0.5000 0.5000 0.0000
0.9979 0.6716 0.3325
0.6695 0.3284 0.3325
0.0021 0.3284 0.6675
0.3305 0.6716 0.6675
```

Calculated volume in Å³ per atom: 25.72
Density of states at the Fermi level in states/eV/cell: 4.43
Energy of formation in eV per atom: -0.2988
E above lowest polymorph in meV/atom: 0
Mass density in g cm⁻³: 11.3
Total energy in eV/atom: -2.296

***

[3]
ErSn2Sb after structural relaxation, computed with PBE.

POSCAR file:
```
ErSn2Sb
1.0
-2.3146 1.3111 2.1054
-0.2958 -1.2040 3.1578
7.0045 7.9232 5.4995
Sb Sn Er
1 2 1
direct
0.5000 0.5000 0.5000
0.0881 0.0881 0.7358
0.9119 0.9119 0.2642
0.0000 0.0000 0.0000
```

Calculated volume in Å³ per atom: 29.30
Energy relative to the elements, uncorrected in eV per atom: 0.1854
Density of states at the Fermi level in states/eV/cell: 2.95
E above lowest polymorph in meV/atom: 560
Mass density in g cm⁻³: 7.5
Total energy in eV/atom: -3.987

***

What did the first record say?
MnSiTe2 after structural relaxation, computed with PBE.

POSCAR file:
```
MnSiTe2
1.0
3.7568 -0.0564 0.0000
-1.5512 3.4220 0.0000
0.0000 0.0000 7.7767
Mn Si Te
1 1 2
direct
0.5000 0.5000 0.2500
0.5000 0.5000 0.7500
0.0000 0.0000 0.0077
0.0000 0.0000 0.4923
```

Calculated volume in Å³ per atom: 24.82
Energy relative to the elements, uncorrected in eV per atom: 0.4136
Density of states at the Fermi level in states/eV/cell: 2.16
Mass density in g cm⁻³: 5.7
Total energy in eV/atom: -4.805

***

Question: Which of these has the highest total energy?
Answer: Ac2Ag3Hg4